# CaTa2As

A relaxed structure of CaTa2As (PBE, Alexandria).

Summary:
DFT formation energy ... 0.3571 eV per atom
Calculated volume ... 77.3 Å³ per cell
M_tot ... 0.0 μB per cell
Space group ... C2, No. 5
VASP energy ... -28.93 eV per cell

Cell and atoms, written as POSCAR:
```
CaTa2As
1.0
4.781 -0.032 -0.002
0.017 4.781 -0.002
-2.400 -2.376 3.385
Ta Ca As
2 1 1
direct
0.250 0.750 0.500
0.000 0.000 0.000
0.750 0.250 0.500
0.500 0.500 0.000
```